No. 1
First-principles (PBE-GGA) data for a geometry-optimized SrAs2IrPd structure, as listed in Alexandria via LeMat-Bulk.

Summary:
Uncorrected energy (eV/atom): -5.617
Space-group type: No. 119

Cell lengths 6.2983, 6.2983, 6.2983 Å; angles 139.56, 139.56, 58.52 degrees
Atoms (fractional coordinates):
Sr  0.0000  0.0000  0.0000
As  0.3645  0.3645  0.0000
As  0.6355  0.6355  0.0000
Ir  0.7500  0.2500  0.5000
Pd  0.2500  0.7500  0.5000

=====

No. 2
First-principles (PBE-GGA) data for a geometry-optimized Sr2AsIrPd structure, as listed in Alexandria via LeMat-Bulk.

Summary:
Uncorrected energy (eV/atom): -4.267
Space-group type: No. 123

Cell lengths 5.8486, 5.8486, 4.5637 Å; angles 90.00, 90.00, 90.00 degrees
Atoms (fractional coordinates):
Sr  0.0000  0.5000  0.0000
Sr  0.5000  0.0000  0.0000
As  0.0000  0.0000  0.0000
Ir  0.5000  0.5000  0.5000
Pd  0.0000  0.0000  0.5000

=====

Number 1: calculated volume 20.83 Å³/atom, E_form -0.610 eV per atom. Number 2: calculated volume 31.22 Å³/atom, E_form 0.146 eV per atom.